DFT (GGA-PBE) results for Ba5AgAu4 after structural relaxation.

Cell lengths 4.0631, 4.0631, 20.1736 Å; angles 90.00, 90.00, 90.00 degrees
With the nearest neighbours (Å) after each atom.
Atoms (fractional coordinates):
Ba 0.5000 0.5000 0.1047  4 Au 3.47, 4 Ag 3.57
Ba 0.5000 0.5000 0.3017  8 Au 3.50-3.51
Ba 0.5000 0.5000 0.5000  8 Au 3.50
Ba 0.5000 0.5000 0.6983  8 Au 3.50-3.51
Ba 0.5000 0.5000 0.8953  4 Au 3.47, 4 Ag 3.57
Ag 0.0000 0.0000 0.0000  8 Ba 3.57
Au 0.0000 0.0000 0.2014  8 Ba 3.47-3.51
Au 0.0000 0.0000 0.4011  8 Ba 3.50
Au 0.0000 0.0000 0.5989  8 Ba 3.50
Au 0.0000 0.0000 0.7986  8 Ba 3.47-3.51

Summary:
energy of formation from the pure elements	-0.60	eV per atom
space-group type	P4/mmm, No. 123
DOS at the Fermi energy	8.92	states/eV/cell